1.
ScAgH2Cl PBE relaxed; VASP energy = -2.97 eV per atom; mass density = 3921 kg/m³; density of states at the Fermi level = 3.1 states/eV per cell
1.0
3.954 0.000 0.000
0.000 3.954 0.000
0.000 0.000 5.154
Sc Ag H Cl
1 1 2 1
Direct
0.000 0.000 0.000
0.500 0.500 0.000
0.000 0.500 0.500
0.500 0.000 0.500
0.000 0.000 0.500

***

2.
Ce2PrOsN4 PBE relaxed; formation energy from raw total energies = -0.965 eV per atom; mass density = 9071 kg/m³; density of states at the Fermi level = 9.6 states/eV per cell
1.0
1.720 -6.011 0.000
1.720 6.011 0.000
0.000 0.000 11.818
Ce Pr Os N
4 2 2 8
Direct
0.132 0.868 0.549
0.132 0.868 0.951
0.868 0.132 0.049
0.868 0.132 0.451
0.390 0.610 0.750
0.610 0.390 0.250
0.350 0.650 0.250
0.650 0.350 0.750
0.050 0.950 0.750
0.231 0.769 0.125
0.231 0.769 0.375
0.500 0.500 0.000
0.500 0.500 0.500
0.769 0.231 0.625
0.769 0.231 0.875
0.950 0.050 0.250

***

3.
Cs2Te3P PBE relaxed; formation energy from raw total energies = -0.556 eV per atom; mass density = 3878 kg/m³; density of states at the Fermi level = 5.1 states/eV per cell
1.0
4.094 -7.685 0.000
4.094 7.685 0.000
0.000 0.000 18.499
Cs Te P
8 12 4
Direct
0.073 0.927 0.840
0.147 0.853 0.427
0.353 0.647 0.927
0.427 0.573 0.340
0.573 0.427 0.660
0.647 0.353 0.073
0.853 0.147 0.573
0.927 0.073 0.160
0.043 0.457 0.750
0.096 0.904 0.633
0.153 0.847 0.058
0.347 0.653 0.558
0.404 0.596 0.133
0.457 0.043 0.250
0.543 0.957 0.750
0.596 0.404 0.867
0.653 0.347 0.442
0.847 0.153 0.942
0.904 0.096 0.367
0.957 0.543 0.250
0.249 0.751 0.165
0.251 0.749 0.665
0.749 0.251 0.335
0.751 0.249 0.835

***

4.
YTlCdBr6 PBE relaxed; formation energy from raw total energies = -1.316 eV per atom; mass density = 4374 kg/m³; density of states at the Fermi level = 0.0 states/eV per cell
1.0
7.302 0.000 0.000
-3.651 6.324 0.000
0.000 0.000 14.554
Y Tl Cd Br
2 2 2 12
Direct
0.333 0.667 0.250
0.667 0.333 0.750
0.000 0.000 0.000
0.000 0.000 0.500
0.333 0.667 0.750
0.667 0.333 0.250
0.000 0.371 0.138
0.000 0.371 0.638
0.000 0.629 0.362
0.000 0.629 0.862
0.371 0.000 0.138
0.371 0.000 0.638
0.371 0.371 0.362
0.371 0.371 0.862
0.629 0.000 0.362
0.629 0.000 0.862
0.629 0.629 0.138
0.629 0.629 0.638